1.
This record from Alexandria via LeMat-Bulk describes a relaxed KCa2Co crystal. The functional is GGA-PBE.

Results
Energy above the most stable polymorph in this dataset, meV/atom: 469
Formation energy, eV/atom: 0.759
DFT total energy, eV/cell: -36.674

Cell: 8.028 8.028 8.028 Å, 90.00 90.00 90.00°
Space group F-43m (No. 216)
Unique sites:
K 0.000 0.000 0.000 (multiplicity 4)
Ca 0.000 0.000 0.500 (multiplicity 4)
Ca 0.250 0.250 0.750 (multiplicity 4)
Co 0.250 0.250 0.250 (multiplicity 4)


2.
This record from Alexandria via LeMat-Bulk describes a relaxed KYAgO3 crystal. The functional is GGA-PBE.

Results
Formation energy (no corrections), eV per atom: -1.684
DFT total energy, eV/cell: -70.778

Cell: 6.804 3.546 9.985 Å, 90.00 109.58 90.00°
Space group P2_1/m (No. 11)
Unique sites:
K 0.249 0.250 0.245 (multiplicity 2)
Y 0.325 0.750 0.866 (multiplicity 2)
Ag 0.144 0.250 0.576 (multiplicity 2)
O 0.090 0.250 0.797 (multiplicity 2)
O 0.313 0.750 0.620 (multiplicity 2)
O 0.442 0.750 0.101 (multiplicity 2)


3.
This record from Alexandria via LeMat-Bulk describes a relaxed FeCoIr2 crystal. The functional is GGA-PBE.

Results
Formation energy, eV/atom: 0.261
DFT total energy, eV/cell: -128.979

Cell: 6.003 6.003 6.003 Å, 90.00 90.00 90.00°
Space group F-43m (No. 216)
Unique sites:
Fe 0.000 0.000 0.000 (multiplicity 4)
Co 0.250 0.250 0.250 (multiplicity 4)
Ir 0.000 0.000 0.500 (multiplicity 4)
Ir 0.250 0.250 0.750 (multiplicity 4)


4.
This record from Alexandria via LeMat-Bulk describes a relaxed K2Rb2Se crystal. The functional is GGA-PBE.

Results
Energy above the most stable polymorph in this dataset, meV/atom: 33
Formation energy (no corrections), eV per atom: -0.398
DFT total energy, eV/cell: -19.208

Cell: 8.903 8.903 7.502 Å, 90.00 90.00 90.00°
Space group P4/mbm (No. 127)
Unique sites:
K 0.183 0.317 0.000 (multiplicity 4)
Rb 0.167 0.667 0.500 (multiplicity 4)
Se 0.000 0.000 0.500 (multiplicity 2)


5.
This record from Alexandria via LeMat-Bulk describes a relaxed Pr2ThSe2S2 crystal. The functional is GGA-PBE.

Results
Formation energy (no corrections), eV per atom: -1.468
DFT total energy, eV/cell: -84.952

Cell: 5.329 5.329 14.933 Å, 90.00 90.00 90.00°
Space group I4/mmm (No. 139)
Unique sites:
Pr 0.000 0.000 0.117 (multiplicity 4)
Th 0.000 0.000 0.500 (multiplicity 2)
Se 0.000 0.000 0.310 (multiplicity 4)
S 0.000 0.500 0.000 (multiplicity 4)


6.
This record from Alexandria via LeMat-Bulk describes a relaxed Sr8Pd2Br crystal. The functional is GGA-PBE.

Results
Formation energy (no corrections), eV per atom: -0.319
DFT total energy, eV/cell: -29.022

Cell: 9.7746 9.7746 6.4280 Å, 90.00 90.00 120.00°
Space group P-3 (No. 147)
Unique sites:
Sr 0.1625 0.3280 0.2417 (multiplicity 6)
Sr 0.3333 0.6667 0.7451 (multiplicity 2)
Pd 0.3333 0.6667 0.2459 (multiplicity 2)
Br 0.0000 0.0000 0.5000 (multiplicity 1)


7.
This record from Alexandria via LeMat-Bulk describes a relaxed TaPbS2N crystal. The functional is GGA-PBE.

Results
Energy above the most stable polymorph in this dataset, meV/atom: 2005
Formation energy (no corrections), eV per atom: 1.567
DFT total energy, eV/cell: -24.304

Cell: 5.099 5.099 4.079 Å, 90.00 90.00 90.00°
Space group P4/mmm (No. 123)
Unique sites:
Ta 0.000 0.000 0.000 (multiplicity 1)
Pb 0.500 0.500 0.500 (multiplicity 1)
S 0.000 0.500 0.500 (multiplicity 2)
N 0.500 0.500 0.000 (multiplicity 1)


8.
This record from Alexandria via LeMat-Bulk describes a relaxed Y2AlGeAu6 crystal. The functional is GGA-PBE.

Results
Formation energy, eV/atom: -0.488
DFT total energy, eV/cell: -45.829

Cell: 5.461 6.744 6.757 Å, 87.11 66.33 66.28°
Space group P-1 (No. 2)
Unique sites:
Y 0.236 0.269 0.259 (multiplicity 2)
Al 0.000 0.000 0.000 (multiplicity 1)
Ge 0.500 0.500 0.500 (multiplicity 1)
Au 0.182 0.829 0.307 (multiplicity 2)
Au 0.248 0.587 0.918 (multiplicity 2)
Au 0.319 0.170 0.696 (multiplicity 2)


9.
This record from Alexandria via LeMat-Bulk describes a relaxed Zn3Cd5In12 crystal. The functional is GGA-PBE.

Results
Formation energy, eV/atom: 0.185
DFT total energy, eV/cell: -300.442

Cell: 16.739 16.739 16.739 Å, 90.00 90.00 90.00°
Space group Ia-3d (No. 230)
Unique sites:
Zn 0.000 0.250 0.125 (multiplicity 24)
Cd 0.000 0.000 0.000 (multiplicity 16)
Cd 0.000 0.250 0.375 (multiplicity 24)
In 0.019 0.089 0.648 (multiplicity 96)


10.
This record from Alexandria via LeMat-Bulk describes a relaxed LiZrHgPb crystal. The functional is GGA-PBE.

Results
Energy above the most stable polymorph in this dataset, meV/atom: 0
Formation energy, eV/atom: -0.206
DFT total energy, eV/cell: -15.295

Cell: 4.041 4.510 4.755 Å, 90.00 90.00 90.00°
Space group Pmmm (No. 47)
Unique sites:
Li 0.000 0.000 0.000 (multiplicity 1)
Zr 0.000 0.500 0.500 (multiplicity 1)
Hg 0.500 0.500 0.000 (multiplicity 1)
Pb 0.500 0.000 0.500 (multiplicity 1)


11.
This record from Alexandria via LeMat-Bulk describes a relaxed Pm3YAg7 crystal. The functional is GGA-PBE.

Results
Formation energy, eV/atom: -0.158
DFT total energy, eV/cell: -169.640

Cell: 3.799 21.170 13.743 Å, 90.00 90.00 90.00°
Space group Cmcm (No. 63)
Unique sites:
Pm 0.000 0.129 0.038 (multiplicity 8)
Pm 0.000 0.217 0.750 (multiplicity 4)
Y 0.000 0.006 0.750 (multiplicity 4)
Ag 0.000 0.272 0.067 (multiplicity 8)
Ag 0.000 0.384 0.750 (multiplicity 4)
Ag 0.000 0.393 0.148 (multiplicity 8)
Ag 0.000 0.479 0.590 (multiplicity 8)


12.
This record from Alexandria via LeMat-Bulk describes a relaxed Dy8HoHg2 crystal. The functional is GGA-PBE.

Results
Formation energy, eV/atom: -0.048
DFT total energy, eV/cell: -85.056

Cell: 8.804 14.861 5.518 Å, 90.00 110.72 90.00°
Space group C2/m (No. 12)
Unique sites:
Dy 0.000 0.224 0.000 (multiplicity 4)
Dy 0.103 0.500 0.800 (multiplicity 4)
Dy 0.206 0.114 0.606 (multiplicity 8)
Ho 0.000 0.000 0.000 (multiplicity 2)
Hg 0.000 0.306 0.500 (multiplicity 4)